First-principles (PBE) data for a relaxed structure of Ac3ZnPd2O9, as listed in Alexandria via LeMat-Bulk.

Unit cell a=5.734 b=5.734 c=7.035 alpha=90.00 beta=90.00 gamma=120.00
Fractional positions:
Ac (0.333, 0.667, 0.664)
Ac (0.000, 0.000, 0.000)
Ac (0.667, 0.333, 0.336)
Zn (0.000, 0.000, 0.500)
Pd (0.333, 0.667, 0.170)
Pd (0.667, 0.333, 0.830)
O (0.833, 0.167, 0.665)
O (0.833, 0.667, 0.665)
O (0.333, 0.167, 0.665)
O (0.667, 0.833, 0.335)
O (0.167, 0.333, 0.335)
O (0.167, 0.833, 0.335)
O (0.500, 0.000, 0.000)
O (0.000, 0.500, 0.000)
O (0.500, 0.500, 0.000)

Computed properties:
The calculation puts the energy relative to the elements, uncorrected at -1983 meV/atom. For the total magnetization, the calculation gives 0.00 μB per formula unit. As for the space group: P-3m1, No. 164.